RbFeTeO4, relaxed, DFT PBE with a Hubbard U; uncorrected energy = -5.52 eV/atom; total magnetization = 10.00 Bohr magnetons per cell; DOS(E_F) = 0.00 states/eV per cell; space group = P2_1/m (11)
1.0
-2.108 6.386 -3.346
-5.394 -2.510 -1.392
-1.112 -1.810 7.572
O Fe Te Rb
8 2 2 2
direct
0.107 0.501 0.341 O
0.107 0.999 0.341 O
0.490 0.750 0.231 O
0.477 0.750 0.559 O
0.893 0.499 0.659 O
0.893 0.001 0.659 O
0.523 0.250 0.441 O
0.510 0.250 0.769 O
0.292 0.250 0.480 Fe
0.708 0.750 0.520 Fe
0.220 0.750 0.269 Te
0.780 0.250 0.731 Te
0.701 0.250 0.207 Rb
0.299 0.750 0.793 Rb